[1]
## AlCr5Rh6 (PBE)

Data for a relaxed structure of AlCr5Rh6.

Cell lengths 3.9008, 7.1307, 11.6602 Å; angles 90.00, 90.00, 90.00 degrees
With the nearest neighbours (Å) after each atom.
Space group Immm (No. 71)
Symmetry-distinct sites (fractional):
Al: 0.0000 0.0000 0.0000 [2 per cell]  8 Rh 2.54-2.60
Cr: 0.0000 0.0000 0.3472 [4 per cell]  8 Rh 2.63-2.70, 4 Cr 2.64-2.71
Cr: 0.0000 0.5000 0.0000 [2 per cell]  4 Cr 2.64, 8 Rh 2.70-2.75
Cr: 0.0000 0.5000 0.3145 [4 per cell]  8 Rh 2.52-2.71, 2 Cr 2.71
Rh: 0.0000 0.2395 0.1682 [8 per cell]  7 Cr 2.52-2.70, 1 Al 2.60, 4 Rh 2.73-2.77
Rh: 0.0000 0.2715 0.5000 [4 per cell]  2 Al 2.54, 6 Cr 2.63-2.75, 4 Rh 2.77

formation energy from the elements = -0.2135 eV per atom

[2]
## AcLuTh (PBE)

Data for a relaxed structure of AcLuTh.

Cell lengths 3.7007, 3.7007, 15.4162 Å; angles 90.00, 90.00, 90.00 degrees
With the nearest neighbours (Å) after each atom.
Space group I4mm (No. 107)
Symmetry-distinct sites (fractional):
Ac: 0.0000 0.0000 0.0000 [2 per cell]  4 Ac 3.70, 4 Th 3.71, 4 Lu 3.83
Lu: 0.0000 0.0000 0.6818 [2 per cell]  4 Th 3.47, 4 Lu 3.70, 4 Ac 3.83
Th: 0.0000 0.0000 0.3298 [2 per cell]  4 Lu 3.47, 4 Th 3.70, 4 Ac 3.71

formation energy from the elements = 0.1022 eV per atom
energy above the most stable polymorph in this dataset = 0 meV per atom

[3]
## ErSn2Pd6 (PBE)

Data for a relaxed structure of ErSn2Pd6.

Cell lengths 3.4745, 13.4681, 7.1045 Å; angles 90.00, 90.00, 90.00 degrees
With the nearest neighbours (Å) after each atom.
Space group Amm2 (No. 38)
Symmetry-distinct sites (fractional):
Er: 0.0000 0.0000 0.0000 [2 per cell]  7 Pd 2.77-2.82
Sn: 0.5000 0.1527 0.3200 [4 per cell]  6 Pd 2.64-2.80
Pd: 0.0000 0.0000 0.3976 [2 per cell]  4 Pd 2.75-2.92, 4 Sn 2.75, 1 Er 2.82
Pd: 0.0000 0.1803 0.6250 [4 per cell]  2 Sn 2.80, 7 Pd 2.87-3.03
Pd: 0.5000 0.0000 0.6970 [2 per cell]  8 Pd 2.75-3.03, 2 Er 2.77
Pd: 0.5000 0.1627 0.9452 [4 per cell]  2 Sn 2.64-2.67, 3 Pd 2.81-2.87, 2 Er 2.82

formation energy from the elements = -0.5139 eV per atom

[4]
## ScGeRu3 (PBE)

Data for a relaxed structure of ScGeRu3.

Cell lengths 4.6044, 4.6044, 4.6044 Å; angles 90.00, 90.00, 90.00 degrees
With the nearest neighbours (Å) after each atom.
Space group Pm-3m (No. 221)
Symmetry-distinct sites (fractional):
Sc: 0.0000 0.0000 0.0000 [1 per cell]  6 Ru 2.30
Ge: 0.5000 0.5000 0.5000 [1 per cell]  12 Ru 3.26
Ru: 0.0000 0.0000 0.5000 [3 per cell]  2 Sc 2.30

formation energy from the elements = 1.5149 eV per atom
energy above the most stable polymorph in this dataset = 1064 meV per atom

[5]
## CaLa4Tb3 (PBE)

Data for a relaxed structure of CaLa4Tb3.

Cell lengths 3.5200, 11.9321, 13.5210 Å; angles 90.00, 90.00, 90.00 degrees
With the nearest neighbours (Å) after each atom.
Space group Immm (No. 71)
Symmetry-distinct sites (fractional):
Ca: 0.0000 0.0000 0.0000 [2 per cell]  4 La 3.50, 2 Ca 3.52, 4 Tb 3.78
La: 0.0000 0.2498 0.1361 [8 per cell]  3 Tb 3.37-3.78, 1 Ca 3.50, 5 La 3.52-3.68
Tb: 0.0000 0.0000 0.5000 [2 per cell]  6 Tb 3.52-3.84, 8 La 3.92
Tb: 0.0000 0.5000 0.2523 [4 per cell]  6 La 3.37-3.78, 2 Tb 3.52

formation energy from the elements = 0.1251 eV per atom

[6]
## PrNiSn3 (PBE)

Data for a relaxed structure of PrNiSn3.

Cell lengths 6.3970, 9.2315, 8.4798 Å; angles 90.00, 90.00, 90.00 degrees
With the nearest neighbours (Å) after each atom.
Space group Pnma (No. 62)
Symmetry-distinct sites (fractional):
Pr: 0.1168 0.2500 0.0477 [4 per cell]  7 Sn 3.19-3.45, 2 Ni 3.39
Ni: 0.0000 0.0000 0.5000 [4 per cell]  6 Sn 2.52-2.77
Sn: 0.1200 0.2500 0.4240 [4 per cell]  2 Ni 2.52
Sn: 0.2255 0.5735 0.2333 [8 per cell]  2 Ni 2.73-2.77

formation energy from the elements = -0.3219 eV per atom

[7]
## SrNdSn (PBE)

Data for a relaxed structure of SrNdSn.

Cell lengths 7.0583, 7.0577, 8.7432 Å; angles 90.00, 90.05, 90.00 degrees
With the nearest neighbours (Å) after each atom.
Space group C2/m (No. 12)
Symmetry-distinct sites (fractional):
Sr: 0.2496 0.0000 0.1420 [4 per cell]  5 Sn 3.44-3.66
Nd: 0.0000 0.2500 0.5000 [4 per cell]  4 Sn 3.31, 4 Nd 3.53
Sn: 0.2503 0.0000 0.7483 [4 per cell]  4 Nd 3.31, 5 Sr 3.44-3.66

formation energy from the elements = -0.5565 eV per atom

[8]
## CdW3Br (PBE)

Data for a relaxed structure of CdW3Br.

Cell lengths 4.6295, 4.6295, 4.6295 Å; angles 90.00, 90.00, 90.00 degrees
With the nearest neighbours (Å) after each atom.
Space group Pm-3m (No. 221)
Symmetry-distinct sites (fractional):
Cd: 0.0000 0.0000 0.0000 [1 per cell]  12 W 3.27
W: 0.0000 0.5000 0.5000 [3 per cell]  2 Br 2.31
Br: 0.5000 0.5000 0.5000 [1 per cell]  6 W 2.31

energy above the most stable polymorph in this dataset = 0 meV per atom
raw formation energy = 2065 meV/atom

| no. | theoretical density (Mg/m³) |
| --- | --- |
| 1 | 9.261 |
| 2 | 9.973 |
| 3 | 10.421 |
| 4 | 7.158 |
| 5 | 6.272 |
| 6 | 7.371 |
| 7 | 5.346 |
| 8 | 12.449 |